DFT (GGA-PBE) results for an optimized crystal structure of PuBeAs.

Lattice parameters (Å, degrees): 5.990 5.990 5.990 90.00 90.00 90.00
Sites, in units of the cell vectors:
Pu 0.000 0.000 0.000
Pu 0.000 0.500 0.500
Pu 0.500 0.000 0.500
Pu 0.500 0.500 0.000
Be 0.250 0.250 0.750
Be 0.250 0.750 0.250
Be 0.750 0.250 0.250
Be 0.750 0.750 0.750
As 0.000 0.000 0.500
As 0.000 0.500 0.000
As 0.500 0.000 0.000
As 0.500 0.500 0.500

Properties
The space-group type is F-43m. Its distance to the lowest polymorph of the same formula is 0.0000 eV per atom.

DFT (GGA-PBE) results for an optimized crystal structure of BeReAs.

Lattice parameters (Å, degrees): 5.500 5.500 5.500 90.00 90.00 90.00
Sites, in units of the cell vectors:
Be 0.000 0.000 0.000
Be 0.000 0.500 0.500
Be 0.500 0.000 0.500
Be 0.500 0.500 0.000
Re 0.250 0.250 0.250
Re 0.250 0.750 0.750
Re 0.750 0.250 0.750
Re 0.750 0.750 0.250
As 0.250 0.250 0.750
As 0.250 0.750 0.250
As 0.750 0.250 0.250
As 0.750 0.750 0.750

Properties
The space-group type is F-43m. The calculation puts the total energy at -75.451 eV per cell.

DFT (GGA-PBE) results for an optimized crystal structure of Be12Re2Sb3As7.

Lattice parameters (Å, degrees): 12.564 12.564 12.564 105.01 105.01 118.82
Sites, in units of the cell vectors:
Be 0.010 0.816 0.916
Be 0.049 0.845 0.487
Be 0.062 0.359 0.513
Be 0.095 0.010 0.694
Be 0.099 0.684 0.694
Be 0.127 0.700 0.467
Be 0.141 0.438 0.987
Be 0.155 0.141 0.204
Be 0.160 0.233 0.533
Be 0.184 0.599 0.194
Be 0.200 0.627 0.967
Be 0.233 0.200 0.073
Be 0.267 0.340 0.967
Be 0.300 0.267 0.427
Be 0.316 0.510 0.416
Be 0.340 0.873 0.073
Be 0.345 0.549 0.987
Be 0.359 0.345 0.296
Be 0.373 0.840 0.573
Be 0.401 0.095 0.584
Be 0.405 0.099 0.916
Be 0.438 0.951 0.296
Be 0.451 0.938 0.796
Be 0.490 0.405 0.806
Be 0.510 0.595 0.194
Be 0.549 0.062 0.204
Be 0.562 0.049 0.704
Be 0.595 0.901 0.084
Be 0.599 0.905 0.416
Be 0.627 0.160 0.427
Be 0.641 0.655 0.704
Be 0.655 0.451 0.013
Be 0.660 0.127 0.927
Be 0.684 0.490 0.584
Be 0.700 0.733 0.573
Be 0.733 0.660 0.033
Be 0.767 0.800 0.927
Be 0.800 0.373 0.033
Be 0.816 0.401 0.806
Be 0.840 0.767 0.467
Be 0.845 0.859 0.796
Be 0.859 0.562 0.013
Be 0.873 0.300 0.533
Be 0.901 0.316 0.306
Be 0.905 0.990 0.306
Be 0.938 0.641 0.487
Be 0.951 0.155 0.513
Be 0.990 0.184 0.084
Re 0.000 0.000 0.000
Re 0.000 0.000 0.500
Re 0.000 0.500 0.000
Re 0.000 0.500 0.500
Re 0.500 0.000 0.000
Re 0.500 0.000 0.500
Re 0.500 0.500 0.000
Re 0.500 0.500 0.500
Sb 0.071 0.250 0.321
Sb 0.125 0.375 0.750
Sb 0.250 0.429 0.179
Sb 0.250 0.929 0.679
Sb 0.375 0.125 0.250
Sb 0.429 0.750 0.179
Sb 0.571 0.250 0.821
Sb 0.625 0.875 0.750
Sb 0.750 0.071 0.321
Sb 0.750 0.571 0.821
Sb 0.875 0.625 0.250
Sb 0.929 0.750 0.679
As 0.007 0.493 0.250
As 0.066 0.099 0.863
As 0.099 0.736 0.033
As 0.125 0.875 0.250
As 0.203 0.066 0.467
As 0.236 0.599 0.533
As 0.243 0.993 0.985
As 0.257 0.243 0.750
As 0.264 0.797 0.363
As 0.297 0.764 0.863
As 0.375 0.625 0.750
As 0.401 0.434 0.637
As 0.434 0.297 0.033
As 0.493 0.743 0.485
As 0.507 0.257 0.515
As 0.566 0.703 0.967
As 0.599 0.566 0.363
As 0.625 0.375 0.250
As 0.703 0.236 0.137
As 0.736 0.203 0.637
As 0.743 0.757 0.250
As 0.757 0.007 0.015
As 0.764 0.401 0.467
As 0.797 0.934 0.533
As 0.875 0.125 0.750
As 0.901 0.264 0.967
As 0.934 0.901 0.137
As 0.993 0.507 0.750

Properties
The space-group type is I4_1/acd. The calculation puts the total energy at -424.523 eV per cell.

DFT (GGA-PBE) results for an optimized crystal structure of BeZnSi2As4.

Lattice parameters (Å, degrees): 5.517 5.517 10.887 90.00 90.00 90.00
Sites, in units of the cell vectors:
Be 0.000 0.000 0.000
Be 0.500 0.500 0.500
Zn 0.000 0.500 0.750
Zn 0.500 0.000 0.250
Si 0.000 0.000 0.500
Si 0.000 0.500 0.250
Si 0.500 0.000 0.750
Si 0.500 0.500 0.000
As 0.236 0.247 0.119
As 0.247 0.764 0.881
As 0.253 0.736 0.381
As 0.264 0.253 0.619
As 0.736 0.747 0.619
As 0.747 0.264 0.381
As 0.753 0.236 0.881
As 0.764 0.753 0.119

Properties
The space-group type is I-4. The calculation puts the total energy at -72.056 eV per cell.

DFT (GGA-PBE) results for an optimized crystal structure of SmBeAs.

Lattice parameters (Å, degrees): 6.658 6.658 6.658 90.00 90.00 90.00
Sites, in units of the cell vectors:
Sm 0.000 0.000 0.000
Sm 0.000 0.500 0.500
Sm 0.500 0.000 0.500
Sm 0.500 0.500 0.000
Be 0.250 0.250 0.250
Be 0.250 0.750 0.750
Be 0.750 0.250 0.750
Be 0.750 0.750 0.250
As 0.250 0.250 0.750
As 0.250 0.750 0.250
As 0.750 0.250 0.250
As 0.750 0.750 0.750

Properties
The space-group type is F-43m. The calculation puts the total energy at -51.564 eV per cell.

DFT (GGA-PBE) results for an optimized crystal structure of TaBe2As.

Lattice parameters (Å, degrees): 6.044 6.044 6.044 90.00 90.00 90.00
Sites, in units of the cell vectors:
Ta 0.000 0.000 0.000
Ta 0.000 0.500 0.500
Ta 0.500 0.000 0.500
Ta 0.500 0.500 0.000
Be 0.000 0.000 0.500
Be 0.000 0.500 0.000
Be 0.250 0.250 0.250
Be 0.250 0.750 0.750
Be 0.500 0.000 0.000
Be 0.500 0.500 0.500
Be 0.750 0.250 0.750
Be 0.750 0.750 0.250
As 0.250 0.250 0.750
As 0.250 0.750 0.250
As 0.750 0.250 0.250
As 0.750 0.750 0.750

Properties
The space-group type is F-43m. The calculation puts the total energy at -87.289 eV per cell.

DFT (GGA-PBE) results for an optimized crystal structure of Ta2BeAs.

Lattice parameters (Å, degrees): 6.317 6.317 6.317 90.00 90.00 90.00
Sites, in units of the cell vectors:
Ta 0.000 0.000 0.000
Ta 0.000 0.500 0.500
Ta 0.250 0.250 0.250
Ta 0.250 0.750 0.750
Ta 0.500 0.000 0.500
Ta 0.500 0.500 0.000
Ta 0.750 0.250 0.750
Ta 0.750 0.750 0.250
Be 0.250 0.250 0.750
Be 0.250 0.750 0.250
Be 0.750 0.250 0.250
Be 0.750 0.750 0.750
As 0.000 0.000 0.500
As 0.000 0.500 0.000
As 0.500 0.000 0.000
As 0.500 0.500 0.500

Properties
The space-group type is F-43m. The calculation puts the total energy at -120.790 eV per cell.

DFT (GGA-PBE) results for an optimized crystal structure of BeTcAs2.

Lattice parameters (Å, degrees): 6.150 6.150 6.150 90.00 90.00 90.00
Sites, in units of the cell vectors:
Be 0.000 0.000 0.000
Be 0.000 0.500 0.500
Be 0.500 0.000 0.500
Be 0.500 0.500 0.000
Tc 0.250 0.250 0.250
Tc 0.250 0.750 0.750
Tc 0.750 0.250 0.750
Tc 0.750 0.750 0.250
As 0.000 0.000 0.500
As 0.000 0.500 0.000
As 0.250 0.250 0.750
As 0.250 0.750 0.250
As 0.500 0.000 0.000
As 0.500 0.500 0.500
As 0.750 0.250 0.250
As 0.750 0.750 0.750

Properties
The space-group type is F-43m. The calculation puts the total energy at -84.842 eV per cell.

DFT (GGA-PBE) results for an optimized crystal structure of UBeAs.

Lattice parameters (Å, degrees): 6.286 6.286 6.286 90.00 90.00 90.00
Sites, in units of the cell vectors:
U 0.000 0.000 0.000
U 0.000 0.500 0.500
U 0.500 0.000 0.500
U 0.500 0.500 0.000
Be 0.000 0.000 0.500
Be 0.000 0.500 0.000
Be 0.500 0.000 0.000
Be 0.500 0.500 0.500
As 0.250 0.250 0.750
As 0.250 0.750 0.250
As 0.750 0.250 0.250
As 0.750 0.750 0.750

Properties
The space-group type is F-43m. Its distance to the lowest polymorph of the same formula is 0.2620 eV per atom.

DFT (GGA-PBE) results for an optimized crystal structure of UBeAs.

Lattice parameters (Å, degrees): 6.425 6.425 6.425 90.00 90.00 90.00
Sites, in units of the cell vectors:
U 0.000 0.000 0.000
U 0.000 0.500 0.500
U 0.500 0.000 0.500
U 0.500 0.500 0.000
Be 0.250 0.250 0.250
Be 0.250 0.750 0.750
Be 0.750 0.250 0.750
Be 0.750 0.750 0.250
As 0.250 0.250 0.750
As 0.250 0.750 0.250
As 0.750 0.250 0.250
As 0.750 0.750 0.750

Properties
The space-group type is F-43m. Its distance to the lowest polymorph of the same formula is 0.3281 eV per atom.

DFT (GGA-PBE) results for an optimized crystal structure of UBeAs.

Lattice parameters (Å, degrees): 5.976 5.976 5.976 90.00 90.00 90.00
Sites, in units of the cell vectors:
U 0.000 0.000 0.000
U 0.000 0.500 0.500
U 0.500 0.000 0.500
U 0.500 0.500 0.000
Be 0.250 0.250 0.750
Be 0.250 0.750 0.250
Be 0.750 0.250 0.250
Be 0.750 0.750 0.750
As 0.000 0.000 0.500
As 0.000 0.500 0.000
As 0.500 0.000 0.000
As 0.500 0.500 0.500

Properties
The space-group type is F-43m. Its distance to the lowest polymorph of the same formula is 0.0000 eV per atom.

DFT (GGA-PBE) results for an optimized crystal structure of BeAsW.

Lattice parameters (Å, degrees): 5.818 5.818 5.818 90.00 90.00 90.00
Sites, in units of the cell vectors:
Be 0.000 0.000 0.000
Be 0.000 0.500 0.500
Be 0.500 0.000 0.500
Be 0.500 0.500 0.000
As 0.000 0.000 0.500
As 0.000 0.500 0.000
As 0.500 0.000 0.000
As 0.500 0.500 0.500
W 0.250 0.250 0.750
W 0.250 0.750 0.250
W 0.750 0.250 0.250
W 0.750 0.750 0.750

Properties
The space-group type is F-43m. Its distance to the lowest polymorph of the same formula is 0.0000 eV per atom.

Here are the calculated ρ numbers, same order: 10.13; 10.79; 6.08; 4.31; 5.27; 8.24; 11.75; 7.34; 8.61; 8.06; 10.02; 9.03 (g/cm3).